Crystalline BaTaW2 at its relaxed geometry, computed with PBEsol.

Energy above the most stable polymorph in this dataset (eV/atom): 0.487
Uncorrected energy (eV per atom): -9.115
Total moment (Bohr magnetons per cell): 0.00
Space group: Cmmm (65)
ρ (kg/m3): 14286

a = 5.8384 Å, b = 5.8384 Å, c = 2.7866 Å
α = 90.00°, β = 90.00°, γ = 122.93°
Sites, in units of the cell vectors:
Ba: 0.0000 0.0000 0.0000
Ta: 0.5000 0.5000 0.0000
W: 0.0000 0.5000 0.5000
W: 0.5000 0.0000 0.5000